A plane-wave DFT calculation with PBE was carried out for MnBe2Al after structural relaxation.

- E_form (eV/atom) = -0.15
- calculated total energy (eV/atom) = -5.24
- space-group type = Imm2 (44)

a b c (Å): 4.442 4.442 3.293
angles (deg): 68.24 68.24 43.12
Sites, in units of the cell vectors:
Mn  0.501  0.501  0.499
Be  0.250  0.250  0.250
Be  0.999  0.999  0.001
Al  0.750  0.750  0.750